(1)
A plane-wave DFT calculation with PBE-GGA was carried out for Tb6Tl2Ru after structural relaxation.

Summary:
SG: Immm (71)
ΔE_f in kJ/mol of atoms: -12.90

```
Tb6Tl2Ru
1.0
5.1507 0.0000 -0.1974
0.0000 7.2756 0.0000
-2.2894 -3.6378 7.5090
Ru Tl Tb
1 2 6
direct
0.0000 0.0000 0.0000 Ru
0.3332 0.3331 0.6662 Tl
0.6668 0.6669 0.3338 Tl
0.8471 0.0868 0.6938 Tb
0.1529 0.9132 0.3062 Tb
0.5000 0.2242 0.0000 Tb
0.1529 0.3930 0.3062 Tb
0.5000 0.7758 0.0000 Tb
0.8471 0.6070 0.6938 Tb
```



(2)
A plane-wave DFT calculation with PBE-GGA was carried out for Tb4TlRu after structural relaxation.

Summary:
SG: C2/c (15)
ΔE_f in kJ/mol of atoms: -31.65

```
Tb4TlRu
1.0
-0.4252 -3.4204 -5.1715
2.4675 -4.8281 7.3632
-7.2640 2.9256 0.2102
Tl Tb Ru
2 8 2
direct
0.3743 0.6243 0.2486 Tl
0.6257 0.3757 0.7514 Tl
0.3933 0.9398 0.6644 Tb
0.9024 0.7984 0.1556 Tb
0.2468 0.6428 0.8444 Tb
0.7532 0.3572 0.1556 Tb
0.0976 0.2016 0.8444 Tb
0.6067 0.0602 0.3356 Tb
0.2289 0.2755 0.3356 Tb
0.7711 0.7245 0.6644 Tb
0.2498 0.9998 0.9996 Ru
0.7502 0.0002 0.0004 Ru
```



(3)
A plane-wave DFT calculation with PBE-GGA was carried out for Tb4Tl3Ru after structural relaxation.

Summary:
SG: P4/mmm (123)
ΔE_f in kJ/mol of atoms: -35.51

```
Tb4Tl3Ru
1.0
-2.5733 1.4376 2.0045
1.6292 -1.1844 2.9410
8.3954 13.7764 0.8971
Tl Ru Tb
3 1 4
direct
0.5000 0.5000 0.2383 Tl
0.5000 0.5000 0.7617 Tl
0.5000 0.5000 0.5000 Tl
0.5000 0.5000 0.0000 Ru
0.0000 0.0000 0.8990 Tb
0.0000 0.0000 0.6322 Tb
0.0000 0.0000 0.1010 Tb
0.0000 0.0000 0.3678 Tb
```



(4)
A plane-wave DFT calculation with PBE-GGA was carried out for Tb5TlRu2 after structural relaxation.

Summary:
SG: I4/mcm (140)
ΔE_f in kJ/mol of atoms: -36.20

```
Tb5TlRu2
1.0
-4.8074 5.7873 -1.9159
2.4325 -0.4162 -7.3610
-3.7535 -7.2451 3.2635
Tb Ru Tl
10 4 2
direct
0.2908 0.7908 0.2631 Tb
0.4724 0.2908 0.2631 Tb
0.2092 0.0276 0.7369 Tb
0.7908 0.9724 0.2631 Tb
0.0276 0.5276 0.7369 Tb
0.7092 0.2092 0.7369 Tb
0.5276 0.7092 0.7369 Tb
0.5000 0.5000 0.0000 Tb
0.0000 0.0000 0.0000 Tb
0.9724 0.4724 0.2631 Tb
0.1425 0.3575 0.0000 Ru
0.3575 0.8575 0.0000 Ru
0.6425 0.1425 0.0000 Ru
0.8575 0.6425 0.0000 Ru
0.2500 0.2500 0.5000 Tl
0.7500 0.7500 0.5000 Tl
```



(5)
A plane-wave DFT calculation with PBE-GGA was carried out for TbTmTlRu after structural relaxation.

Summary:
SG: F-43m (216)
ΔE_f in kJ/mol of atoms: -25.17

```
TbTmTlRu
1.0
-2.4995 -3.7932 -2.2277
0.7477 -0.9857 -4.9060
2.4746 -4.1884 -1.3903
Tb Tm Ru Tl
1 1 1 1
direct
0.0000 0.0000 0.0000 Tb
0.5000 0.5000 0.5000 Tm
0.2500 0.2500 0.2500 Ru
0.7500 0.7500 0.7500 Tl
```



(6)
A plane-wave DFT calculation with PBE-GGA was carried out for TbTmRu4 after structural relaxation.

Summary:
SG: F-43m (216)
ΔE_f in kJ/mol of atoms: -30.42

```
TbTmRu4
1.0
-3.9899 -0.9313 -3.3980
-4.8048 -1.3577 1.8448
-4.0531 3.4326 -0.3508
Ru Tm Tb
4 1 1
direct
0.6249 0.6249 0.6249 Ru
0.6249 0.1254 0.6249 Ru
0.6249 0.6249 0.1254 Ru
0.1254 0.6249 0.6249 Ru
0.2500 0.2500 0.2500 Tm
0.0000 0.0000 0.0000 Tb
```



> The highest ΔE_f belongs to which entry?

Tb6Tl2Ru